No. 1
A geometry-optimized MgPtCl2 structure, computed with PBE.

Formation energy (no corrections) = -526 meV per atom
Excess energy over the best structure of this formula in the dataset = 339.2 meV per atom

Cell: 3.3132 3.3132 8.8956 Å, 90.00 90.00 115.12°
With the nearest neighbours (Å) after each atom.
Element x y z (fractional)
Pt (0.5000, 0.5000, 0.7395)  2 Cl 2.43
Mg (0.0000, 0.0000, 0.5063)  2 Cl 2.38
Cl (0.0000, 0.0000, 0.9257)  2 Pt 2.43
Cl (0.5000, 0.5000, 0.3285)  2 Mg 2.38

***

No. 2
A geometry-optimized PmNdTm6 structure, computed with PBE.

Calculated formation energy = 0.03 eV/atom
Excess energy over the best structure of this formula in the dataset = 0.0 meV per atom

Cell: 4.9943 4.9943 9.9906 Å, 90.00 90.00 90.00°
With the nearest neighbours (Å) after each atom.
Element x y z (fractional)
Tm (0.5000, 0.5000, 0.0000)  4 Nd 3.53, 8 Tm 3.54
Tm (0.5000, 0.0000, 0.2506)  2 Pm 3.53, 8 Tm 3.53-3.54, 2 Nd 3.54
Tm (0.0000, 0.5000, 0.7494)  8 Tm 3.53-3.54, 2 Pm 3.53, 2 Nd 3.54
Tm (0.5000, 0.5000, 0.5000)  8 Tm 3.53, 4 Pm 3.53
Tm (0.5000, 0.0000, 0.7494)  2 Pm 3.53, 8 Tm 3.53-3.54, 2 Nd 3.54
Tm (0.0000, 0.5000, 0.2506)  2 Pm 3.53, 8 Tm 3.53-3.54, 2 Nd 3.54
Nd (0.0000, 0.0000, 0.0000)  12 Tm 3.53-3.54
Pm (0.0000, 0.0000, 0.5000)  12 Tm 3.53

***

No. 3
A geometry-optimized Mg3PaAu4 structure, computed with PBE.

Calculated formation energy = -0.49 eV/atom

Cell: 4.6500 4.6500 8.9304 Å, 74.91 74.91 60.00°
With the nearest neighbours (Å) after each atom.
Element x y z (fractional)
Au (0.3882, 0.3882, 0.8355)  4 Mg 2.86, 3 Pa 3.03
Au (0.6118, 0.6118, 0.1645)  4 Mg 2.86, 3 Pa 3.03
Au (0.1241, 0.1241, 0.6278)  7 Mg 2.80-2.97
Au (0.8759, 0.8759, 0.3722)  7 Mg 2.80-2.97
Mg (0.7595, 0.7595, 0.7214)  7 Au 2.80-2.97
Mg (0.2405, 0.2405, 0.2786)  7 Au 2.80-2.97
Mg (0.5000, 0.5000, 0.5000)  8 Au 2.86-2.90
Pa (0.0000, 0.0000, 0.0000)  8 Au 3.03-3.17